# 1
Material: Hf3CoTe
Method: DFT, PBE
State: relaxed

Cell and atoms, written as POSCAR:
```
Hf3CoTe
1.0
-2.948 -1.394 -1.785
4.577 -3.991 -4.442
-1.673 -4.350 6.161
Hf Co Te
6 2 2
direct
0.695 0.668 0.044 Hf
0.196 0.026 0.208 Hf
0.195 0.753 0.510 Hf
0.696 0.014 0.872 Hf
0.695 0.395 0.346 Hf
0.195 0.408 0.682 Hf
0.195 0.791 0.885 Co
0.695 0.630 0.669 Co
0.695 0.073 0.509 Te
0.196 0.348 0.045 Te
```

Properties
Energy relative to the elements, uncorrected ... -0.415 eV per atom



# 2
Material: La4TlSbN
Method: DFT, PBE
State: relaxed

Cell and atoms, written as POSCAR:
```
La4TlSbN
1.0
7.057 0.000 0.000
0.000 7.079 0.000
-3.529 0.000 8.431
N La Sb Tl
2 8 2 2
direct
0.764 0.250 0.527 N
0.236 0.750 0.473 N
0.914 0.250 0.827 La
0.500 0.000 0.500 La
0.000 0.500 0.500 La
0.585 0.250 0.170 La
0.415 0.750 0.830 La
0.086 0.750 0.173 La
0.000 0.000 0.500 La
0.500 0.500 0.500 La
0.390 0.250 0.781 Sb
0.610 0.750 0.219 Sb
0.890 0.750 0.780 Tl
0.110 0.250 0.220 Tl
```

Properties
Energy relative to the elements, uncorrected ... -0.893 eV per atom



# 3
Material: Pm2CoNi3Sn4
Method: DFT, PBE
State: relaxed

Cell and atoms, written as POSCAR:
```
Pm2CoNi3Sn4
1.0
4.402 0.000 0.000
0.000 4.402 0.000
0.000 0.000 10.321
Sn Co Ni Pm
4 1 3 2
direct
0.000 0.500 0.372 Sn
0.500 0.500 0.000 Sn
0.000 0.000 0.000 Sn
0.500 0.000 0.628 Sn
0.500 0.500 0.500 Co
0.000 0.500 0.130 Ni
0.000 0.000 0.500 Ni
0.500 0.000 0.870 Ni
0.500 0.000 0.260 Pm
0.000 0.500 0.740 Pm
```

Properties
Energy of formation ... -4.785 eV per formula unit



# 4
Material: LaY2PuN4
Method: DFT, PBE
State: relaxed

Cell and atoms, written as POSCAR:
```
LaY2PuN4
1.0
-1.896 -2.308 -1.913
4.401 -4.218 0.726
-4.049 -0.476 4.588
Y N La Pu
2 4 1 1
direct
0.500 0.000 0.500 Y
0.000 0.500 0.500 Y
0.500 0.237 0.249 N
0.000 0.766 0.257 N
0.500 0.763 0.751 N
0.000 0.234 0.743 N
0.500 0.500 0.000 La
0.000 0.000 0.000 Pu
```

Properties
Energy relative to the elements, uncorrected ... -1.439 eV per atom



# 5
Material: SrCaSb2Pd5
Method: DFT, PBE
State: relaxed

Cell and atoms, written as POSCAR:
```
SrCaSb2Pd5
1.0
-1.642 4.028 -2.090
-0.542 -2.380 -4.163
-7.960 -2.089 2.230
Pd Sb Sr Ca
5 2 1 1
direct
0.000 0.500 0.719 Pd
0.000 0.500 0.281 Pd
0.500 0.500 0.500 Pd
0.500 0.000 0.281 Pd
0.500 0.000 0.719 Pd
0.500 0.500 0.828 Sb
0.500 0.500 0.172 Sb
0.000 0.000 0.500 Sr
0.000 0.000 0.000 Ca
```

Properties
Energy relative to the elements, uncorrected ... -0.606 eV per atom



# 6
Material: Pr3Dy8Ho4
Method: DFT, PBE
State: relaxed

Cell and atoms, written as POSCAR:
```
Pr3Dy8Ho4
1.0
6.759 -0.087 -0.125
-3.257 8.619 1.163
-3.257 -1.901 8.487
Dy Pr Ho
8 3 4
direct
0.991 0.741 0.741 Dy
0.500 0.748 0.252 Dy
0.009 0.259 0.259 Dy
0.000 0.359 0.641 Dy
0.000 0.641 0.359 Dy
0.500 0.252 0.748 Dy
0.542 0.269 0.269 Dy
0.458 0.731 0.731 Dy
0.500 0.500 0.500 Pr
0.500 0.000 0.500 Pr
0.500 0.500 0.000 Pr
0.000 0.000 0.000 Ho
0.000 0.000 0.500 Ho
0.000 0.500 0.000 Ho
0.500 0.000 0.000 Ho
```

Properties
Energy of formation ... 5.868 eV per formula unit



Number 1: DOS(E_F) 10.32 states/eV/cell. Number 2: DOS(E_F) 10.36 states/eV/cell. Number 3: DOS(E_F) 5.92 states/eV/cell. Number 4: DOS(E_F) 7.80 states/eV/cell. Number 5: DOS(E_F) 2.79 states/eV/cell. Number 6: DOS(E_F) 28.78 states/eV/cell.